# Cs2PCI

Cs2PCI after structural relaxation (PBE, Alexandria).

Computed properties:
- symmetry = P4/mmm (123)
- energy relative to the elements, uncorrected (eV/atom) = -0.09

Unit cell a=6.8363 b=3.7134 c=6.8363 alpha=90.00 beta=90.00 gamma=90.00
Closest atoms and distances in Å follow each position.
Fractional positions:
Cs: 0.0000 0.0000 0.5000  2 C 3.42, 2 Cs 3.71
Cs: 0.5000 0.0000 0.0000  2 C 3.42, 2 Cs 3.71
I: 0.5000 0.5000 0.5000  2 I 3.71, 8 Cs 3.89
C: 0.0000 0.0000 0.0000  2 P 1.86
P: 0.0000 0.5000 0.0000  2 C 1.86